Na3PaMn2S6: optimized geometry, PBE.

a = 6.180 Å, b = 10.659 Å, c = 7.075 Å
α = 90.00°, β = 107.07°, γ = 90.00°
Space group C2/m (No. 12)
Inequivalent atoms, fractional coordinates:
Na  0.000  0.000  0.000
Na  0.000  0.341  0.000
Pa  0.000  0.500  0.500
Mn  0.000  0.171  0.500
S  0.196  0.000  0.700
S  0.245  0.185  0.295

Results
total energy	-5.729	eV per atom
formation energy (no corrections)	-1015	meV/atom
V	18.562	Å³ per atom
magnetization	0.19	μB/atom